Record 1
Below is crystalline Pm3AlAg3Se8 at its relaxed geometry, with properties calculated at the GGA-PBE level.

Unit cell a=8.0003 b=8.0003 c=8.0197 alpha=116.70 beta=116.70 gamma=63.40
Sites, in units of the cell vectors:
Pm  0.0000  0.0000  0.0000
Pm  0.0000  0.5000  0.5000
Pm  0.5000  0.0000  0.5000
Al  0.5000  0.5000  0.0000
Ag  0.0000  0.5000  0.0000
Ag  0.5000  0.0000  0.0000
Ag  0.5000  0.5000  0.5000
Se  0.2503  0.2503  0.2508
Se  0.2734  0.2734  0.7816
Se  0.2733  0.7174  0.2257
Se  0.2826  0.7267  0.7743
Se  0.7174  0.2733  0.2257
Se  0.7267  0.2826  0.7743
Se  0.7266  0.7266  0.2184
Se  0.7497  0.7497  0.7492

Results
**Formation energy without anion corrections**: -1.017 eV/atom
**VASP energy**: -4.6457 eV per atom
**Calculated volume**: 26.0 A^3/atom

---

Record 2
Below is crystalline Nd3Dy at its relaxed geometry, with properties calculated at the GGA-PBE level.

Unit cell a=3.6837 b=5.8994 c=6.3685 alpha=90.00 beta=90.00 gamma=90.00
Sites, in units of the cell vectors:
Nd  0.0000  0.0000  0.0000
Nd  0.0000  0.5000  0.3335
Nd  0.5000  0.5000  0.8340
Dy  0.5000  0.0000  0.5010

Results
**Formation enthalpy at 0 K**: 0.03 eV/atom
**VASP energy**: -4.6933 eV per atom
**Relative energy among the computed polymorphs**: 1.7 kJ/mol of atoms
**Calculated volume**: 34.6 A^3/atom

---

Record 3
Below is crystalline Tb8Te4P3H at its relaxed geometry, with properties calculated at the GGA-PBE level.

Unit cell a=8.4869 b=8.4869 c=8.4869 alpha=57.71 beta=57.71 gamma=57.71
Sites, in units of the cell vectors:
Tb  0.2327  0.7397  0.7397
Tb  0.2358  0.2358  0.2358
Tb  0.2603  0.2603  0.7673
Tb  0.2603  0.7673  0.2603
Tb  0.7397  0.2327  0.7397
Tb  0.7397  0.7397  0.2327
Tb  0.7642  0.7642  0.7642
Tb  0.7673  0.2603  0.2603
Te  0.0000  0.0000  0.0000
Te  0.0000  0.5000  0.5000
Te  0.5000  0.0000  0.5000
Te  0.5000  0.5000  0.0000
P  0.0000  0.0000  0.5000
P  0.0000  0.5000  0.0000
P  0.5000  0.0000  0.0000
H  0.5000  0.5000  0.5000

Results
**VASP energy**: -5.6553 eV per atom
**Calculated volume**: 25.6 A^3/atom

---

Q: Among the records above, which one has the highest calculated volume?
A: Nd3Dy

---

Q: Among the records above, which one has the lowest VASP energy?
A: Tb8Te4P3H

---

Q: The lowest VASP energy belongs to which entry?
A: Tb8Te4P3H